--- A ---
A plane-wave DFT calculation with PBE was carried out for a geometry-optimized GeIr3Ru structure.

The structure in POSCAR format:
```
GeIr3Ru
1.0
4.7143 0.0000 0.0000
0.0000 4.7143 0.0000
0.0000 0.0000 4.7143
Ru Ge Ir
1 1 3
Cartesian
0.0000 0.0000 0.0000 Ru
2.3571 2.3571 2.3571 Ge
0.0000 2.3571 0.0000 Ir
0.0000 0.0000 2.3571 Ir
2.3571 0.0000 0.0000 Ir
```

***

--- B ---
A plane-wave DFT calculation with PBE was carried out for a geometry-optimized GeIr3Ru structure.

The structure in POSCAR format:
```
GeIr3Ru
1.0
-3.4947 1.5732 2.4208
-2.4433 -3.6364 -1.1639
1.5381 -2.2021 3.6514
Ru Ge Ir
1 1 3
Cartesian
-2.1999 -2.1327 2.4541 Ru
0.0000 0.0000 0.0000 Ge
-1.2216 -1.8182 -0.5820 Ir
0.7690 -1.1011 1.8257 Ir
-1.7473 0.7866 1.2104 Ir
```

***

Computed stability ranking, most favorable first: B, A

***

--- A ---
A plane-wave DFT calculation with PBE was carried out for a geometry-optimized GeIr2S structure.

The structure in POSCAR format:
```
GeIr2S
1.0
1.7267 3.1163 2.5121
-1.2972 0.4309 4.1395
2.6990 -1.0682 3.2524
Ge Ir S
1 2 1
Cartesian
1.5643 1.2395 4.9520 Ge
0.7821 0.6198 2.4760 Ir
2.3464 1.8593 7.4279 Ir
0.0000 0.0000 0.0000 S
```

***

--- B ---
A plane-wave DFT calculation with PBE was carried out for a geometry-optimized GeIr2S structure.

The structure in POSCAR format:
```
GeIr2S
1.0
-3.4561 -3.8830 -0.6396
1.8585 -2.3608 4.2900
-4.5743 -0.2878 5.0204
Ge Ir S
2 4 2
Cartesian
0.0000 0.0000 0.0000 Ge
-4.4146 -3.6463 3.1030 Ge
-2.9492 -2.6567 1.4142 Ir
-0.5362 -2.1700 3.8338 Ir
-3.9641 -2.6407 5.2858 Ir
-4.8943 -5.5957 6.8078 Ir
-0.7988 -3.1219 1.8252 S
-1.7573 -2.8852 5.5678 S
```

***

Computed stability ranking, most favorable first: B, A

***

--- A ---
A plane-wave DFT calculation with PBE was carried out for a geometry-optimized GeIr3S structure.

The structure in POSCAR format:
```
GeIr3S
1.0
-0.8430 -2.1944 3.7768
2.8701 -3.1779 -1.2057
3.2927 2.2082 2.0180
Ge Ir S
1 3 1
Cartesian
2.6599 -1.5820 2.2945 Ge
1.4350 -1.5889 -0.6029 Ir
1.6464 1.1041 1.0090 Ir
-0.4215 -1.0972 1.8884 Ir
0.0000 0.0000 0.0000 S
```

***

--- B ---
A plane-wave DFT calculation with PBE was carried out for a geometry-optimized GeIr3S structure.

The structure in POSCAR format:
```
GeIr3S
1.0
-3.1316 -3.2152 -0.9563
3.2338 -3.2414 0.3083
-0.8915 -0.4635 4.4776
Ge Ir S
1 3 1
Cartesian
0.0000 0.0000 0.0000 Ge
1.6169 -1.6207 0.1541 Ir
-0.4457 -0.2318 2.2388 Ir
-1.5658 -1.6076 -0.4782 Ir
-0.3946 -3.4600 1.9148 S
```

***

Computed stability ranking, most favorable first: A, B

***

--- A ---
A plane-wave DFT calculation with PBE was carried out for a geometry-optimized GeSbIr structure.

The structure in POSCAR format:
```
GeSbIr
1.0
5.4806 0.0000 0.0000
0.0000 6.3620 -0.4303
0.0000 -0.4616 7.5011
Ir Ge Sb
4 4 4
Cartesian
2.6733 1.0933 4.5145 Ir
5.4136 4.5764 6.3069 Ir
2.8073 4.8071 2.5563 Ir
0.0670 1.3241 0.7639 Ir
3.9576 5.4531 4.6088 Ge
4.2633 5.6839 0.8582 Ge
1.5230 0.4474 2.4620 Ge
1.2173 0.2166 6.2126 Ge
1.5424 3.5926 0.5016 Sb
1.1979 3.3618 4.2522 Sb
3.9382 2.3079 6.5692 Sb
4.2827 2.5387 2.8186 Sb
```

***

--- B ---
A plane-wave DFT calculation with PBE was carried out for a geometry-optimized GeSbIr structure.

The structure in POSCAR format:
```
GeSbIr
1.0
-3.7087 -5.0320 1.3524
4.4634 -2.1519 4.2333
-4.4564 3.9811 2.5920
Ge Sb Ir
4 4 4
Cartesian
-1.6142 -2.4697 6.0317 Ge
-2.0875 -0.7332 2.1460 Ge
0.8890 -0.7986 3.9910 Ge
-4.5907 -2.4043 4.1866 Ge
-1.3104 -3.3274 2.7702 Sb
-2.3912 0.1246 5.4075 Sb
-0.0449 -5.7143 5.2391 Sb
-3.6568 2.5115 2.9385 Sb
0.0705 0.4607 2.0201 Ir
0.4755 -3.0938 4.8029 Ir
-3.7722 -3.6635 6.1575 Ir
-4.1772 -0.1090 3.3748 Ir
```

***

--- C ---
A plane-wave DFT calculation with PBE was carried out for a geometry-optimized GeSbIr structure.

The structure in POSCAR format:
```
GeSbIr
1.0
5.4749 0.0000 0.0000
0.0000 3.6486 0.0000
0.0000 -1.8243 3.1598
Sb Ge Ir
1 1 1
Cartesian
3.3961 0.0000 2.1065 Sb
0.3672 0.0000 0.0000 Ge
1.7116 1.8243 1.0533 Ir
```

***

Computed stability ranking, most favorable first: A, B, C